No. 1
First-principles (GGA-PBE) data for Sc2SiP after structural relaxation, as listed in the Alexandria database.

POSCAR file:
```
Sc2SiP
1.0
3.1990 -3.6077 0.0000
3.1990 3.6077 0.0000
-0.7916 0.0000 3.1517
Sc Si P
2 1 1
Direct
0.0000 0.5000 0.0000
0.5000 0.0000 0.0000
0.0000 0.0000 0.5000
0.5000 0.5000 0.5000
```

Values from the calculation:
Symmetry: C2/m
Excess energy over the best structure of this formula in the dataset (meV/atom): 423
Total moment (μB per cell): 0.00
ΔE_f (raw) (eV per atom): -0.73

=====

No. 2
First-principles (GGA-PBE) data for SiB after structural relaxation, as listed in the Alexandria database.

POSCAR file:
```
SiB
1.0
-1.3304 1.6980 2.6960
1.3304 -1.6980 2.6960
1.3304 1.6980 -2.6960
Si B
1 1
Direct
0.0000 0.0000 0.0000
0.2987 0.7987 0.5000
```

Values from the calculation:
Symmetry: Imm2
Excess energy over the best structure of this formula in the dataset (meV/atom): 82
Total moment (μB per cell): 0.00
ΔE_f (raw) (eV per atom): 0.28

=====

No. 3
First-principles (GGA-PBE) data for SbC5 after structural relaxation, as listed in the Alexandria database.

POSCAR file:
```
SbC5
1.0
4.9216 0.0000 0.0000
-2.4608 4.2623 0.0000
0.0000 0.0000 2.5569
Sb C
1 5
Direct
0.0000 0.0000 0.0000
0.0000 0.5000 0.5000
0.3333 0.6667 0.0000
0.5000 0.0000 0.5000
0.5000 0.5000 0.5000
0.6667 0.3333 0.0000
```

Values from the calculation:
Symmetry: P6/mmm
Excess energy over the best structure of this formula in the dataset (meV/atom): 2097
Total moment (μB per cell): 0.00
ΔE_f (raw) (eV per atom): 3.21

=====

No. 4
First-principles (GGA-PBE) data for La4Sn2Rh after structural relaxation, as listed in the Alexandria database.

POSCAR file:
```
La4Sn2Rh
1.0
6.8267 0.0000 0.0000
0.0000 7.0568 0.0000
-2.3831 0.0000 9.3025
La Sn Rh
8 4 2
Direct
0.1874 0.2500 0.1026
0.2564 0.7500 0.3875
0.2917 0.0036 0.7514
0.2917 0.4964 0.7514
0.7083 0.5036 0.2486
0.7083 0.9964 0.2486
0.7436 0.2500 0.6125
0.8126 0.7500 0.8974
0.1142 0.2500 0.4384
0.3114 0.7500 0.0515
0.6886 0.2500 0.9485
0.8858 0.7500 0.5616
0.4713 0.2500 0.3669
0.5287 0.7500 0.6331
```

Values from the calculation:
Calculated formation energy (eV/atom): -0.6850
Symmetry: P2_1/m
Excess energy over the best structure of this formula in the dataset (meV/atom): 0
Total moment (μB per cell): 0.00

=====

No. 5
First-principles (GGA-PBE) data for Er2TiTl3Se6 after structural relaxation, as listed in the Alexandria database.

POSCAR file:
```
Er2TiTl3Se6
1.0
3.5032 -6.0559 0.0000
3.5032 6.0559 0.0000
-2.3472 0.0000 7.7745
Er Ti Tl Se
2 1 3 6
Direct
0.1654 0.8346 0.0000
0.8346 0.1654 0.0000
0.5000 0.5000 0.0000
0.0000 0.0000 0.5000
0.3274 0.6726 0.5000
0.6726 0.3274 0.5000
0.1206 0.4349 0.8041
0.2519 0.2519 0.2029
0.4349 0.1206 0.8041
0.5651 0.8794 0.1959
0.7481 0.7481 0.7971
0.8794 0.5651 0.1959
```

Values from the calculation:
Symmetry: C2/m
Total moment (μB per cell): 1.00
ΔE_f (raw) (eV per atom): -1.17

=====

No. 6
First-principles (GGA-PBE) data for Li2NpRh5 after structural relaxation, as listed in the Alexandria database.

POSCAR file:
```
Li2NpRh5
1.0
-2.8373 2.8373 3.6295
2.8373 -2.8373 3.6295
2.8373 2.8373 -3.6295
Li Np Rh
2 1 5
Direct
0.0000 0.5000 0.5000
0.5000 0.0000 0.5000
0.0000 0.0000 0.0000
0.0000 0.0000 0.5000
0.0000 0.5000 0.0000
0.5000 0.0000 0.0000
0.5000 0.5000 0.0000
0.5000 0.5000 0.5000
```

Values from the calculation:
Calculated formation energy (eV/atom): -0.2264
Symmetry: I4/mmm
Total moment (μB per cell): 2.09

=====

No. 7
First-principles (GGA-PBE) data for RbHg2Te2 after structural relaxation, as listed in the Alexandria database.

POSCAR file:
```
RbHg2Te2
1.0
-2.5814 2.5814 7.0352
2.5814 -2.5814 7.0352
2.5814 2.5814 -7.0352
Rb Hg Te
1 2 2
Direct
0.0000 0.0000 0.0000
0.2500 0.7500 0.5000
0.7500 0.2500 0.5000
0.3615 0.3615 0.0000
0.6385 0.6385 0.0000
```

Values from the calculation:
Symmetry: I4/mmm
Excess energy over the best structure of this formula in the dataset (meV/atom): 1
Total moment (μB per cell): 0.00
ΔE_f (raw) (eV per atom): -0.36

=====

No. 8
First-principles (GGA-PBE) data for MgAlBr2 after structural relaxation, as listed in the Alexandria database.

POSCAR file:
```
MgAlBr2
1.0
1.8537 1.0703 10.1392
-1.8537 1.0703 10.1392
0.0000 -2.1405 10.1392
Mg Al Br
1 1 2
Direct
0.0000 0.0000 0.0000
0.5000 0.5000 0.5000
0.3854 0.3854 0.3854
0.6146 0.6146 0.6146
```

Values from the calculation:
Symmetry: R-3m
Excess energy over the best structure of this formula in the dataset (meV/atom): 0
Total moment (μB per cell): 0.00
ΔE_f (raw) (eV per atom): -0.64